A geometry-optimized MgIn2Os structure. Source: Alexandria, functional PBE.

Calculated values
The formation energy is 0.38 eV/atom. The final energy comes out at -4.1966 eV/atom. The magnetic moment is 0.7 μB/cell.

Unit cell a=4.8453 b=3.0258 c=5.3346 alpha=88.80 beta=90.00 gamma=90.00
Each line ends with the local moment (μB).
Positions (direct):
Mg  0.5000  0.2500  0.2500  -0.01
In  0.0000  0.5184  0.5080  -0.01
In  0.0000  0.9816  0.9920  -0.01
Os  0.5000  0.7500  0.7500  0.73